[1]
Tc4W3: optimized geometry, PBE.

a = 5.0890 Å, b = 5.0890 Å, c = 4.9736 Å
α = 90.00°, β = 90.00°, γ = 120.00°
Closest atoms and distances in Å follow each position.
Space group P6/mmm (No. 191)
Inequivalent atoms, fractional coordinates:
Tc 0.0000 0.0000 0.2292 [2 per cell]  1 Tc 2.28
Tc 0.3333 0.6667 0.0000 [2 per cell]  6 W 2.89, 9 Tc 2.94-3.15
W 0.0000 0.5000 0.5000 [3 per cell]  4 W 2.54

Summary:
The volume is 15.94 A^3/atom. Its energy above the most stable polymorph in this dataset is 215 meV/atom. The value obtained for the mass density is 14.05 Mg/m³. The value obtained for the formation energy is 303 meV per atom.

---

[2]
TlB2TeH: optimized geometry, PBE.

a = 4.6704 Å, b = 4.6704 Å, c = 3.7036 Å
α = 90.00°, β = 90.00°, γ = 90.00°
Closest atoms and distances in Å follow each position.
Space group P4/mmm (No. 123)
Inequivalent atoms, fractional coordinates:
Tl 0.0000 0.0000 0.0000 [1 per cell]  8 B 2.98, 4 H 3.30
B 0.0000 0.5000 0.5000 [2 per cell]  2 Te 2.34
Te 0.5000 0.5000 0.5000 [1 per cell]  2 H 1.85
H 0.5000 0.5000 0.0000 [1 per cell]  2 Te 1.85

Summary:
The volume is 16.16 A^3/atom. The energy comes out at -3.038 eV/atom. The value obtained for the mass density is 7.29 Mg/m³.

---

[3]
Sr2Al3CdGa4: optimized geometry, PBE.

a = 4.4658 Å, b = 4.4658 Å, c = 11.1625 Å
α = 90.00°, β = 90.00°, γ = 90.00°
Closest atoms and distances in Å follow each position.
Space group P-4m2 (No. 115)
Inequivalent atoms, fractional coordinates:
Sr 0.0000 0.5000 0.2444 [2 per cell]  8 Ga 3.40-3.53, 6 Al 3.41-3.62, 2 Cd 3.62
Al 0.0000 0.5000 0.8703 [2 per cell]  5 Ga 2.55-2.66
Al 0.5000 0.5000 0.5000 [1 per cell]  4 Ga 2.74
Cd 0.0000 0.0000 0.5000 [1 per cell]  4 Ga 2.74
Ga 0.0000 0.0000 0.0000 [1 per cell]  4 Al 2.66
Ga 0.0000 0.5000 0.6418 [2 per cell]  3 Al 2.55-2.74, 2 Cd 2.74
Ga 0.5000 0.5000 0.0000 [1 per cell]  4 Al 2.66

Summary:
The volume is 22.26 A^3/atom. The value obtained for the mass density is 4.83 Mg/m³. The value obtained for the formation energy is -341 meV per atom.

---

[4]
PtPbW2: optimized geometry, PBE.

a = 2.9368 Å, b = 2.9368 Å, c = 29.7107 Å
α = 90.00°, β = 90.00°, γ = 120.00°
Closest atoms and distances in Å follow each position.
Space group R3m (No. 160, hexagonal axes)
Inequivalent atoms, fractional coordinates:
Pt 0.0000 0.0000 0.0000 [3 per cell]  3 W 2.73, 6 Pt 2.94
Pb 0.0000 0.0000 0.2413 [3 per cell]  6 Pb 2.94, 3 W 3.15, 3 Pt 3.22
W 0.0000 0.0000 0.4851 [3 per cell]  9 W 2.91-2.94, 3 Pb 3.15
W 0.0000 0.0000 0.7389 [3 per cell]  3 Pt 2.73, 9 W 2.91-2.94

Summary:
The volume is 18.49 A^3/atom. The value obtained for the mass density is 17.28 Mg/m³. The value obtained for the formation energy is 534 meV per atom.

---

[5]
FeReGe: optimized geometry, PBE.

a = 5.6066 Å, b = 5.6066 Å, c = 5.6066 Å
α = 90.00°, β = 90.00°, γ = 90.00°
Closest atoms and distances in Å follow each position.
Space group F-43m (No. 216)
Inequivalent atoms, fractional coordinates:
Fe 0.0000 0.0000 0.0000 [4 per cell]  4 Ge 2.43, 4 Re 2.43
Re 0.2500 0.2500 0.2500 [4 per cell]  4 Fe 2.43
Ge 0.2500 0.2500 0.7500 [4 per cell]  4 Fe 2.43

Summary:
The volume is 14.69 A^3/atom. Its energy above the most stable polymorph in this dataset is 0 meV/atom. The value obtained for the mass density is 11.86 Mg/m³. The value obtained for the formation energy is 97 meV per atom.